(1)
The following is a DFT calculation (PBE) of Pu3FeSi2 after structural relaxation.

Calculated values
Total moment   0.71 μB per atom
E_tot   -10.725 eV/atom
SG   Pnma (62)
Crystal system   orthorhombic
Formation energy (no corrections)   -0.3409 eV/atom

Cell: 11.1558 4.3987 8.9081 Å, 90.00 90.00 90.00°
Sites, in units of the cell vectors:
Pu: 0.0486 0.2500 0.1298
Pu: 0.1757 0.7500 0.6441
Pu: 0.2286 0.2500 0.7908
Pu: 0.2714 0.7500 0.2908
Pu: 0.3243 0.2500 0.1441
Pu: 0.4514 0.7500 0.6298
Pu: 0.5486 0.2500 0.3702
Pu: 0.6757 0.7500 0.8559
Pu: 0.7286 0.2500 0.7092
Pu: 0.7714 0.7500 0.2092
Pu: 0.8243 0.2500 0.3559
Pu: 0.9514 0.7500 0.8702
Fe: 0.1070 0.2500 0.3978
Fe: 0.3930 0.7500 0.8978
Fe: 0.6070 0.2500 0.1022
Fe: 0.8930 0.7500 0.6022
Si: 0.0120 0.7500 0.3722
Si: 0.1966 0.7500 0.9891
Si: 0.3034 0.2500 0.4891
Si: 0.4880 0.2500 0.8722
Si: 0.5120 0.7500 0.1278
Si: 0.6966 0.7500 0.5109
Si: 0.8034 0.2500 0.0109
Si: 0.9880 0.2500 0.6278

---

(2)
The following is a DFT calculation (PBE) of Pu2FeSi after structural relaxation.

Calculated values
Total moment   2.08 μB per atom
E_tot   -10.827 eV/atom
SG   P4/mmm (123)
Crystal system   tetragonal
Formation energy (no corrections)   -0.1893 eV/atom

Cell: 3.6828 3.6828 5.5576 Å, 90.00 90.00 90.00°
Sites, in units of the cell vectors:
Pu: 0.0000 0.0000 0.2460
Pu: 0.0000 0.0000 0.7540
Fe: 0.5000 0.5000 0.5000
Si: 0.5000 0.5000 0.0000

---

(3)
The following is a DFT calculation (PBE) of PuFe2Si after structural relaxation.

Calculated values
Total moment   0.48 μB per atom
E_tot   -9.501 eV/atom
SG   Pmma (51)
Crystal system   orthorhombic
Formation energy (no corrections)   -0.3308 eV/atom

Cell: 4.8704 4.0009 6.3906 Å, 90.00 90.00 90.00°
Sites, in units of the cell vectors:
Pu: 0.2500 0.0000 0.1764
Pu: 0.7500 0.0000 0.8236
Fe: 0.0000 0.5000 0.5000
Fe: 0.2500 0.0000 0.6181
Fe: 0.5000 0.5000 0.5000
Fe: 0.7500 0.0000 0.3819
Si: 0.2500 0.5000 0.8258
Si: 0.7500 0.5000 0.1742

---

(4)
The following is a DFT calculation (PBE) of PuFe2Si after structural relaxation.

Calculated values
Total moment   0.71 μB per atom
E_tot   -9.278 eV/atom
SG   P4/mmm (123)
Crystal system   tetragonal
Formation energy (no corrections)   -0.1081 eV/atom

Cell: 2.8121 2.8121 6.7409 Å, 90.00 90.00 90.00°
Sites, in units of the cell vectors:
Pu: 0.0000 0.0000 0.0000
Fe: 0.5000 0.5000 0.3031
Fe: 0.5000 0.5000 0.6969
Si: 0.0000 0.0000 0.5000

---

(5)
The following is a DFT calculation (PBE) of Pu2FeSi after structural relaxation.

Calculated values
Total moment   0.38 μB per atom
E_tot   -10.600 eV/atom
SG   P4/mmm (123)
Crystal system   tetragonal
Formation energy (no corrections)   0.0375 eV/atom

Cell: 3.4969 3.4969 4.8699 Å, 90.00 90.00 90.00°
Sites, in units of the cell vectors:
Pu: 0.0000 0.5000 0.0000
Pu: 0.5000 0.0000 0.0000
Fe: 0.0000 0.0000 0.5000
Si: 0.5000 0.5000 0.5000

---

(6)
The following is a DFT calculation (PBE) of Pu2Fe12Si7 after structural relaxation.

Calculated values
Total moment   0.98 μB per atom
E_tot   -8.319 eV/atom
SG   P-6 (174)
Crystal system   hexagonal
Formation energy (no corrections)   -0.3104 eV/atom

Cell: 9.2336 9.2336 3.6809 Å, 90.00 90.00 120.00°
Sites, in units of the cell vectors:
Pu: 0.0000 0.0000 0.0000
Pu: 0.3333 0.6667 0.5000
Fe: 0.0296 0.2832 0.5000
Fe: 0.1115 0.7267 0.0000
Fe: 0.2536 0.9704 0.5000
Fe: 0.2733 0.3849 0.0000
Fe: 0.3853 0.1836 0.0000
Fe: 0.5527 0.4292 0.5000
Fe: 0.5708 0.1235 0.5000
Fe: 0.6151 0.8885 0.0000
Fe: 0.7168 0.7464 0.5000
Fe: 0.7983 0.6147 0.0000
Fe: 0.8164 0.2017 0.0000
Fe: 0.8765 0.4473 0.5000
Si: 0.0630 0.4572 0.0000
Si: 0.2570 0.2297 0.5000
Si: 0.3942 0.9370 0.0000
Si: 0.5428 0.6058 0.0000
Si: 0.6667 0.3333 0.0000
Si: 0.7703 0.0273 0.5000
Si: 0.9727 0.7430 0.5000

---

(7)
The following is a DFT calculation (PBE) of Pu3Fe6Si2 after structural relaxation.

Calculated values
Total moment   0.41 μB per atom
E_tot   -9.829 eV/atom
SG   Im-3m (229)
Crystal system   cubic
Formation energy (no corrections)   -0.3187 eV/atom

Cell: 7.4958 7.4958 7.4958 Å, 109.47 109.47 109.47°
Sites, in units of the cell vectors:
Pu: 0.0000 0.2657 0.2657
Pu: 0.0000 0.7343 0.7343
Pu: 0.2657 0.0000 0.2657
Pu: 0.2657 0.2657 0.0000
Pu: 0.7343 0.0000 0.7343
Pu: 0.7343 0.7343 0.0000
Fe: 0.0000 0.3465 0.6535
Fe: 0.0000 0.6535 0.3465
Fe: 0.3069 0.6535 0.6535
Fe: 0.3465 0.0000 0.6535
Fe: 0.3465 0.3465 0.6931
Fe: 0.3465 0.6535 0.0000
Fe: 0.3465 0.6931 0.3465
Fe: 0.6535 0.0000 0.3465
Fe: 0.6535 0.3069 0.6535
Fe: 0.6535 0.3465 0.0000
Fe: 0.6535 0.6535 0.3069
Fe: 0.6931 0.3465 0.3465
Si: 0.0000 0.0000 0.5000
Si: 0.0000 0.5000 0.0000
Si: 0.5000 0.0000 0.0000
Si: 0.5000 0.5000 0.5000

---

(8)
The following is a DFT calculation (PBE) of Pu2FeSi6Tc after structural relaxation.

Calculated values
Total moment   1.10 μB per atom
E_tot   -8.366 eV/atom
SG   R-3m (166)
Crystal system   trigonal
Formation energy (no corrections)   -0.3625 eV/atom

Cell: 12.3957 12.3957 12.3957 Å, 26.89 26.89 26.89°
Sites, in units of the cell vectors:
Pu: 0.1232 0.1232 0.1232
Pu: 0.3092 0.3092 0.3092
Pu: 0.6908 0.6908 0.6908
Pu: 0.8768 0.8768 0.8768
Fe: 0.0000 0.0000 0.0000
Fe: 0.5000 0.5000 0.5000
Si: 0.0765 0.6593 0.6593
Si: 0.1913 0.1913 0.7650
Si: 0.1913 0.7650 0.1913
Si: 0.2350 0.8087 0.8087
Si: 0.3407 0.3407 0.9235
Si: 0.3407 0.9235 0.3407
Si: 0.6593 0.0765 0.6593
Si: 0.6593 0.6593 0.0765
Si: 0.7650 0.1913 0.1913
Si: 0.8087 0.2350 0.8087
Si: 0.8087 0.8087 0.2350
Si: 0.9235 0.3407 0.3407
Tc: 0.4219 0.4219 0.4219
Tc: 0.5781 0.5781 0.5781

---

(9)
The following is a DFT calculation (PBE) of PuFeSiTc after structural relaxation.

Calculated values
Total moment   0.93 μB per atom
E_tot   -9.826 eV/atom
SG   R3m (160)
Crystal system   trigonal
Formation energy (no corrections)   -0.1800 eV/atom

Cell: 5.4083 5.4083 5.4083 Å, 44.68 44.68 44.68°
Sites, in units of the cell vectors:
Pu: 0.0000 0.0000 0.0000
Fe: 0.8019 0.8019 0.8019
Si: 0.2080 0.2080 0.2080
Tc: 0.4917 0.4917 0.4917

---

(10)
The following is a DFT calculation (PBE) of PuFeSiTc after structural relaxation.

Calculated values
Total moment   0.77 μB per atom
E_tot   -9.837 eV/atom
SG   F-43m (216)
Crystal system   cubic
Formation energy (no corrections)   -0.1912 eV/atom

Cell: 4.4139 4.4139 4.4139 Å, 60.00 60.00 60.00°
Sites, in units of the cell vectors:
Pu: 0.0000 0.0000 0.0000
Fe: 0.7500 0.7500 0.7500
Si: 0.5000 0.5000 0.5000
Tc: 0.2500 0.2500 0.2500

---

(11)
The following is a DFT calculation (PBE) of PuFeSi2Tc after structural relaxation.

Calculated values
Total moment   1.46 μB per atom
E_tot   -9.259 eV/atom
SG   I-4m2 (119)
Crystal system   tetragonal
Formation energy (no corrections)   -0.4572 eV/atom

Cell: 5.9012 5.9012 5.9012 Å, 140.73 140.73 56.74°
Sites, in units of the cell vectors:
Pu: 0.0000 0.0000 0.0000
Fe: 0.7500 0.2500 0.5000
Si: 0.3806 0.3806 0.0000
Si: 0.6194 0.6194 0.0000
Tc: 0.2500 0.7500 0.5000

---

(12)
The following is a DFT calculation (PBE) of Sm3Pu2Fe4 after structural relaxation.

Calculated values
Total moment   0.66 μB per atom
E_tot   -8.594 eV/atom
SG   C2/m (12)
Crystal system   monoclinic

Cell: 5.8798 5.8798 8.5627 Å, 103.13 103.13 40.22°
Sites, in units of the cell vectors:
Sm: 0.0000 0.0000 0.0000
Sm: 0.3758 0.3758 0.6189
Sm: 0.6242 0.6242 0.3811
Pu: 0.3273 0.3273 0.2184
Pu: 0.6727 0.6727 0.7816
Fe: 0.0851 0.0851 0.6356
Fe: 0.2667 0.2667 0.9100
Fe: 0.7333 0.7333 0.0900
Fe: 0.9149 0.9149 0.3644

---

> Look up the E_tot of the ninth one.

-9.826 eV/atom

---

> E_tot of number 10 (PuFeSiTc)?

-9.837 eV/atom

---

> The lowest E_tot belongs to which entry?

number 2